No. 1
DFT (GGA-PBE) results for a geometry-optimized Ni2Ir5Rh structure.

Cell lengths 6.608, 6.608, 6.608 Å; angles 156.40, 103.09, 81.79 degrees
Atoms (fractional coordinates):
Ni1 0.247 0.247 0.000
Ni2 0.753 0.753 0.000
Ir1 0.134 0.868 0.266
Ir2 0.398 0.132 0.266
Ir3 0.500 0.500 0.000
Ir4 0.602 0.868 0.734
Ir5 0.866 0.132 0.734
Rh1 0.000 0.500 0.500

Output
As for the total moment: 0.00 Bohr magnetons per cell. As for the raw total energy: -7.79 eV/atom. Its calculated formation energy is 109 meV/atom. The value obtained for the density of states at the Fermi level is 1.56 states/eV per atom. Its symmetry is No. 71. Its energy above the most stable polymorph in this dataset is 0 meV per atom.

=====

No. 2
DFT (GGA-PBE) results for a geometry-optimized NiIrRh2 structure.

Cell lengths 4.639, 4.639, 2.703 Å; angles 90.00, 90.00, 109.60 degrees
Atoms (fractional coordinates):
Ni1 0.000 0.000 0.000
Ir1 0.500 0.500 0.000
Rh1 0.000 0.500 0.500
Rh2 0.500 0.000 0.500

Output
As for the total moment: 1.63 Bohr magnetons per cell. As for the raw total energy: -7.30 eV/atom. Its calculated formation energy is 35 meV/atom. The value obtained for the density of states at the Fermi level is 1.44 states/eV per atom. Its symmetry is No. 65. Its energy above the most stable polymorph in this dataset is 33 meV per atom.

=====

No. 3
DFT (GGA-PBE) results for a geometry-optimized Ni3Ir4Rh2 structure.

Cell lengths 4.231, 6.208, 6.350 Å; angles 67.45, 70.84, 70.30 degrees
Atoms (fractional coordinates):
Ni1 0.000 0.000 0.000
Ni2 0.261 0.593 0.882
Ni3 0.739 0.407 0.118
Ir1 0.187 0.028 0.599
Ir2 0.356 0.169 0.120
Ir3 0.644 0.831 0.880
Ir4 0.813 0.972 0.401
Rh1 0.465 0.702 0.357
Rh2 0.535 0.298 0.643

Output
As for the total moment: 0.00 Bohr magnetons per cell. As for the raw total energy: -7.05 eV/atom. Its calculated formation energy is 450 meV/atom. The value obtained for the density of states at the Fermi level is 1.53 states/eV per atom. Its symmetry is No. 2.